First-principles (GGA+U) data for a geometry-optimized K2MoIO structure, as listed in Alexandria via LeMat-Bulk.

Calculated total energy ... -2.65 eV per atom
Density ... 2.0 g/cm³

Lattice parameters (Å, degrees): 6.8566 5.7095 6.8566 90.00 90.00 90.00
Each line ends with the local moment (μB).
Atoms (fractional coordinates):
K 0.0000 0.0000 0.5000  0.01
K 0.5000 0.0000 0.0000  0.01
I 0.0000 0.5000 0.0000  -0.01
Mo 0.0000 0.0000 0.0000  4.02
O 0.5000 0.5000 0.5000  0.81